Run w
Density functional theory data (PBE-GGA) for a geometry-optimized CdSbBr structure.

## Properties
- symmetry = I4mm
- DOS at the Fermi energy (states/eV/f.u.) = 1.07

abc: 7.8500 7.8500 7.8500
angles: 154.89 154.89 35.81
Closest atoms and distances in Å follow each position.
Fractional positions:
Sb 0.6969 0.6969 0.0000  4 Cd 3.25, 4 Sb 3.41
Cd 0.3429 0.3429 0.0000  4 Br 2.98, 4 Sb 3.25
Br 0.9602 0.9602 0.0000  4 Cd 2.98

Run x
Density functional theory data (PBE-GGA) for a geometry-optimized CdSbBr structure.

## Properties
- symmetry = C2/m
- DOS at the Fermi energy (states/eV/f.u.) = 0.73

abc: 4.1004 4.2043 12.9968
angles: 96.38 90.00 119.19
Closest atoms and distances in Å follow each position.
Fractional positions:
Cd 0.4594 0.9187 0.7379  3 Br 2.78-2.92, 2 Sb 3.04
Cd 0.5406 0.0813 0.2621  3 Br 2.78-2.92, 2 Sb 3.04
Br 0.7994 0.5989 0.8592  3 Cd 2.78-2.92
Br 0.2006 0.4011 0.1408  3 Cd 2.78-2.92
Sb 0.8585 0.7169 0.5670  3 Sb 2.88-3.01, 2 Cd 3.04
Sb 0.1415 0.2831 0.4330  3 Sb 2.88-3.01, 2 Cd 3.04

Run y
Density functional theory data (PBE-GGA) for a geometry-optimized CdSbBr structure.

## Properties
- symmetry = F-43m
- DOS at the Fermi energy (states/eV/f.u.) = 4.71

abc: 5.1543 5.1543 5.1543
angles: 60.00 60.00 60.00
Closest atoms and distances in Å follow each position.
Fractional positions:
Br 0.0000 0.0000 0.0000  4 Sb 3.16
Sb 0.2500 0.2500 0.2500  4 Cd 3.16, 4 Br 3.16
Cd 0.5000 0.5000 0.5000  4 Sb 3.16

Run z
Density functional theory data (PBE-GGA) for a geometry-optimized CdSbBr structure.

## Properties
- symmetry = P-1
- DOS at the Fermi energy (states/eV/f.u.) = 0.40

abc: 3.5491 8.9166 6.2693
angles: 93.79 91.12 79.05
Closest atoms and distances in Å follow each position.
Fractional positions:
Br 0.1747 0.5381 0.8238  3 Cd 2.75-3.04
Br 0.7364 0.3678 0.3095  3 Cd 2.76-3.04
Sb 0.9918 0.9821 0.7962  1 Cd 2.75, 1 Sb 2.90
Sb 0.9206 0.9239 0.3373  1 Cd 2.75, 1 Sb 2.90
Cd 0.7804 0.2945 0.7772  1 Sb 2.75, 3 Br 2.75-3.04
Cd 0.1304 0.6114 0.3560  1 Sb 2.75, 3 Br 2.76-3.04

Energies relative to the most stable structure are run w 27.6; run x 0.0; run y 49.1; run z 3.1, reported in kJ/mol of atoms.

Run w
Density functional theory data (PBE-GGA) for a geometry-optimized CdSbBr structure.

## Properties
- symmetry = I4mm
- DOS at the Fermi energy (states/eV/f.u.) = 0.94

abc: 6.5569 6.5569 6.5569
angles: 142.22 142.23 54.49
Closest atoms and distances in Å follow each position.
Fractional positions:
Sb 0.7612 0.7612 0.0000  1 Br 2.64
Br 0.9878 0.9878 0.0000  1 Sb 2.64
Cd 0.2510 0.2510 0.0000  4 Sb 3.00, 1 Br 3.07

Run x
Density functional theory data (PBE-GGA) for a geometry-optimized CdSbBr structure.

## Properties
- symmetry = P3m1
- DOS at the Fermi energy (states/eV/f.u.) = 1.66

abc: 3.6273 3.6273 7.8481
angles: 90.00 90.00 120.00
Closest atoms and distances in Å follow each position.
Fractional positions:
Cd 0.6667 0.3333 0.3144  3 Br 2.79, 3 Sb 3.10
Br 0.0000 0.0000 0.0793  3 Cd 2.79
Sb 0.3333 0.6667 0.6063  3 Cd 3.10

Run y
Density functional theory data (PBE-GGA) for a geometry-optimized CdSbBr structure.

## Properties
- symmetry = Cc

abc: 8.1771 8.1771 7.9996
angles: 65.25 65.25 92.96
Closest atoms and distances in Å follow each position.
Fractional positions:
Sb 0.9638 0.8354 0.5535  1 Cd 2.80, 2 Sb 2.88-2.90
Sb 0.8952 0.6477 0.9817  2 Cd 2.83-2.91, 2 Sb 2.88-2.90
Sb 0.6477 0.8952 0.4817  2 Cd 2.83-2.91, 2 Sb 2.88-2.90
Sb 0.8354 0.9638 0.0535  1 Cd 2.80, 2 Sb 2.88-2.90
Br 0.3420 0.3449 0.5617  3 Cd 2.75-3.02
Br 0.4208 0.8530 0.0144  2 Cd 2.68-2.78
Br 0.8530 0.4208 0.5144  2 Cd 2.68-2.78
Br 0.3449 0.3420 0.0617  3 Cd 2.75-3.02
Cd 0.6806 0.2803 0.3483  2 Br 2.78-2.79, 2 Sb 2.83-2.91
Cd 0.1832 0.0662 0.0225  2 Br 2.68-2.75, 1 Sb 2.80
Cd 0.2803 0.6806 0.8483  2 Br 2.78-2.79, 2 Sb 2.83-2.91
Cd 0.0662 0.1832 0.5225  2 Br 2.68-2.75, 1 Sb 2.80

Energies relative to the most stable structure are run w 25.3; run x 19.0; run y 0.0, reported in kJ/mol of atoms.

Run w
Density functional theory data (PBE-GGA) for a geometry-optimized CdSbBr structure.

## Properties
- symmetry = P3m1
- DOS at the Fermi energy (states/eV/f.u.) = 2.75

abc: 5.1311 5.1311 3.6006
angles: 90.00 90.00 120.00
Closest atoms and distances in Å follow each position.
Fractional positions:
Sb 0.6667 0.3333 0.5313  3 Cd 2.97
Br 0.0000 0.0000 0.0083  6 Cd 3.38-3.56, 6 Sb 3.42-3.51, 2 Br 3.60
Cd 0.3333 0.6667 0.4604  3 Sb 2.97

Run x
Density functional theory data (PBE-GGA) for a geometry-optimized CdSbBr structure.

## Properties
- symmetry = Fmm2
- DOS at the Fermi energy (states/eV/f.u.) = 1.23

abc: 7.9662 7.7251 3.4884
angles: 81.05 73.32 25.63
Closest atoms and distances in Å follow each position.
Fractional positions:
Cd 0.3416 0.3416 0.6584  2 Br 2.77, 2 Sb 3.03
Sb 0.6916 0.6916 0.3084  2 Cd 3.03
Br 0.9668 0.9668 0.0332  2 Cd 2.77

Energies relative to the most stable structure are run w 15.6; run x 0.0, reported in kJ/mol of atoms.

Run w
Density functional theory data (PBE-GGA) for a geometry-optimized Cd4Sb2Br3 structure.

## Properties
- symmetry = C2/c
- DOS at the Fermi energy (states/eV/f.u.) = 3.14

abc: 8.0898 8.8759 8.8759
angles: 104.81 79.35 79.35
Closest atoms and distances in Å follow each position.
Fractional positions:
Br 0.3839 0.2342 0.0063  2 Cd 2.71-2.79
Br 0.2500 0.6805 0.3195  4 Cd 2.89-2.98
Br 0.8839 0.0063 0.2342  2 Cd 2.71-2.79
Br 0.6161 0.7658 0.9937  2 Cd 2.71-2.79
Br 0.1161 0.9937 0.7658  2 Cd 2.71-2.79
Br 0.7500 0.3195 0.6805  4 Cd 2.89-2.98
Cd 0.5166 0.1095 0.6851  2 Br 2.71-2.89, 2 Sb 2.90-2.96
Cd 0.0166 0.6851 0.1095  2 Br 2.71-2.89, 2 Sb 2.90-2.96
Cd 0.9831 0.7394 0.6226  2 Br 2.79-2.98, 2 Sb 2.81-2.82
Cd 0.4834 0.8905 0.3149  2 Br 2.71-2.89, 2 Sb 2.90-2.96
Cd 0.5169 0.3774 0.2606  2 Br 2.79-2.98, 2 Sb 2.81-2.82
Cd 0.0169 0.2606 0.3774  2 Br 2.79-2.98, 2 Sb 2.81-2.82
Cd 0.4831 0.6226 0.7394  2 Br 2.79-2.98, 2 Sb 2.81-2.82
Cd 0.9834 0.3149 0.8905  2 Br 2.71-2.89, 2 Sb 2.90-2.96
Sb 0.6648 0.7673 0.5360  4 Cd 2.81-2.96
Sb 0.1648 0.5360 0.7673  4 Cd 2.81-2.96
Sb 0.8352 0.4640 0.2327  4 Cd 2.81-2.96
Sb 0.3352 0.2327 0.4640  4 Cd 2.81-2.96

Run x
Density functional theory data (PBE-GGA) for a geometry-optimized Cd4Sb2Br3 structure.

## Properties
- symmetry = C2/c
- DOS at the Fermi energy (states/eV/f.u.) = 2.82

abc: 7.0416 9.9170 9.9170
angles: 83.83 98.92 98.92
Closest atoms and distances in Å follow each position.
Fractional positions:
Br 0.7500 0.4155 0.5845  4 Cd 3.01-3.03
Br 0.5148 0.9529 0.1931  3 Cd 2.71-3.00
Br 0.9852 0.8069 0.0471  3 Cd 2.71-3.00
Br 0.4852 0.0471 0.8069  3 Cd 2.71-3.00
Br 0.2500 0.5845 0.4155  4 Cd 3.01-3.03
Br 0.0148 0.1931 0.9529  3 Cd 2.71-3.00
Cd 0.6167 0.1977 0.0233  3 Br 2.71-3.00, 1 Sb 2.73
Cd 0.4241 0.3389 0.3597  2 Sb 2.83-2.87, 2 Br 3.01-3.03
Cd 0.5759 0.6611 0.6403  2 Sb 2.83-2.87, 2 Br 3.01-3.03
Cd 0.3833 0.8023 0.9767  3 Br 2.71-3.00, 1 Sb 2.73
Cd 0.1167 0.0233 0.1977  3 Br 2.71-3.00, 1 Sb 2.73
Cd 0.8833 0.9767 0.8023  3 Br 2.71-3.00, 1 Sb 2.73
Cd 0.0759 0.6403 0.6611  2 Sb 2.83-2.87, 2 Br 3.01-3.03
Cd 0.9241 0.3597 0.3389  2 Sb 2.83-2.87, 2 Br 3.01-3.03
Sb 0.8802 0.8676 0.5604  3 Cd 2.73-2.87
Sb 0.3802 0.5604 0.8676  3 Cd 2.73-2.87
Sb 0.1198 0.1324 0.4396  3 Cd 2.73-2.87
Sb 0.6198 0.4396 0.1324  3 Cd 2.73-2.87

Energies relative to the most stable structure are run w 0.0; run x 3.0, reported in kJ/mol of atoms.

Run w
Density functional theory data (PBE-GGA) for a geometry-optimized CdSb2Br8 structure.

## Properties
- symmetry = C2/m
- DOS at the Fermi energy (states/eV/f.u.) = 0.00

abc: 3.8577 10.3666 10.1952
angles: 89.21 100.91 90.00
Closest atoms and distances in Å follow each position.
Fractional positions:
Sb 0.8464 0.2609 0.6928  6 Br 2.84-2.99
Sb 0.1536 0.7391 0.3072  6 Br 2.84-2.99
Br 0.6427 0.9582 0.2853  1 Cd 2.88, 2 Sb 2.99
Br 0.2399 0.2982 0.4798  2 Sb 2.90
Br 0.9975 0.8092 0.9949  2 Cd 2.76
Br 0.3573 0.0418 0.7147  1 Cd 2.88, 2 Sb 2.99
Br 0.4009 0.4313 0.8019  2 Sb 2.84
Br 0.0025 0.1908 0.0051  2 Cd 2.76
Br 0.7601 0.7018 0.5202  2 Sb 2.90
Br 0.5991 0.5687 0.1981  2 Sb 2.84
Cd 0.5000 0.0000 0.0000  6 Br 2.76-2.88

Run x
Density functional theory data (PBE-GGA) for a geometry-optimized CdSb2Br8 structure.

## Properties
- symmetry = C2/m
- DOS at the Fermi energy (states/eV/f.u.) = 0.00

abc: 8.1184 8.0730 8.0730
angles: 95.88 78.67 78.67
Closest atoms and distances in Å follow each position.
Fractional positions:
Br 0.7805 0.7187 0.0445  1 Sb 2.62
Br 0.7724 0.2203 0.2203  1 Cd 2.55
Br 0.2276 0.7797 0.7797  1 Cd 2.55
Br 0.2195 0.9555 0.2813  1 Sb 2.62
Br 0.2195 0.2813 0.9555  1 Sb 2.62
Br 0.7245 0.5875 0.5875  1 Sb 2.51
Br 0.2755 0.4125 0.4125  1 Sb 2.51
Br 0.7805 0.0445 0.7187  1 Sb 2.62
Sb 0.4030 0.1707 0.1707  3 Br 2.51-2.62
Sb 0.5970 0.8293 0.8293  3 Br 2.51-2.62
Cd 0.0000 0.0000 0.0000  2 Br 2.55

Energies relative to the most stable structure are run w 0.0; run x 1.5, reported in kJ/mol of atoms.

Run w
Density functional theory data (PBE-GGA) for a geometry-optimized CdSb3Br structure.

## Properties
- symmetry = Pm-3m
- DOS at the Fermi energy (states/eV/f.u.) = 4.88

abc: 5.5463 5.5463 5.5463
angles: 90.00 90.00 90.00
Closest atoms and distances in Å follow each position.
Fractional positions:
Sb 0.0000 0.5000 0.0000  2 Br 2.77
Sb 0.5000 0.0000 0.0000  2 Br 2.77
Sb 0.0000 0.0000 0.5000  2 Br 2.77
Cd 0.5000 0.5000 0.5000  12 Sb 3.92
Br 0.0000 0.0000 0.0000  6 Sb 2.77

Run x
Density functional theory data (PBE-GGA) for a geometry-optimized CdSb3Br structure.

## Properties
- symmetry = Pm-3m
- DOS at the Fermi energy (states/eV/f.u.) = 4.78

abc: 5.5679 5.5679 5.5679
angles: 90.00 90.00 90.00
Closest atoms and distances in Å follow each position.
Fractional positions:
Cd 0.0000 0.0000 0.0000  6 Sb 2.78
Sb 0.5000 0.0000 0.0000  2 Cd 2.78
Sb 0.0000 0.0000 0.5000  2 Cd 2.78
Sb 0.0000 0.5000 0.0000  2 Cd 2.78
Br 0.5000 0.5000 0.5000  12 Sb 3.94

Energies relative to the most stable structure are run w 21.0; run x 0.0, reported in kJ/mol of atoms.

Run w
Density functional theory data (PBE-GGA) for a geometry-optimized Cd3SbBr structure.

## Properties
- symmetry = R-3c
- DOS at the Fermi energy (states/eV/f.u.) = 1.48

abc: 7.9458 7.9458 7.9458
angles: 58.93 58.93 58.93
Closest atoms and distances in Å follow each position.
Fractional positions:
Sb 0.9942 0.9942 0.9942  6 Cd 2.94
Sb 0.4942 0.4942 0.4942  6 Cd 2.94
Cd 0.1249 0.7447 0.3635  2 Sb 2.94, 1 Br 2.98
Cd 0.7447 0.3635 0.1249  2 Sb 2.94, 1 Br 2.98
Cd 0.6249 0.8635 0.2447  2 Sb 2.94, 1 Br 2.98
Cd 0.3635 0.1249 0.7447  2 Sb 2.94, 1 Br 2.98
Cd 0.8635 0.2447 0.6249  2 Sb 2.94, 1 Br 2.98
Cd 0.2447 0.6249 0.8635  2 Sb 2.94, 1 Br 2.98
Br 0.2441 0.2441 0.2441  3 Cd 2.98
Br 0.7441 0.7441 0.7441  3 Cd 2.98

Run x
Density functional theory data (PBE-GGA) for a geometry-optimized Cd3SbBr structure.

## Properties
- symmetry = Pm-3m
- DOS at the Fermi energy (states/eV/f.u.) = 1.32

abc: 5.4788 5.4788 5.4788
angles: 90.00 90.00 90.00
Closest atoms and distances in Å follow each position.
Fractional positions:
Cd 0.5000 0.0000 0.0000  2 Br 2.74
Cd 0.0000 0.5000 0.0000  2 Br 2.74
Cd 0.0000 0.0000 0.5000  2 Br 2.74
Sb 0.5000 0.5000 0.5000  12 Cd 3.87
Br 0.0000 0.0000 0.0000  6 Cd 2.74

Energies relative to the most stable structure are run w 0.0; run x 55.6, reported in kJ/mol of atoms.

Run w
Density functional theory data (PBE-GGA) for a geometry-optimized CdSbTe2Br structure.

## Properties
- symmetry = P4/mmm
- DOS at the Fermi energy (states/eV/f.u.) = 5.99

abc: 5.5415 5.5415 5.7435
angles: 90.00 90.00 90.00
Closest atoms and distances in Å follow each position.
Fractional positions:
Sb 0.0000 0.0000 0.5000  2 Cd 2.87
Te 0.0000 0.5000 0.0000  2 Cd 2.77
Te 0.5000 0.0000 0.0000  2 Cd 2.77
Cd 0.0000 0.0000 0.0000  4 Te 2.77, 2 Sb 2.87
Br 0.5000 0.5000 0.5000  4 Sb 3.92, 8 Te 3.99

Run x
Density functional theory data (PBE-GGA) for a geometry-optimized CdSbTe2Br structure.

## Properties
- symmetry = P4/mmm
- DOS at the Fermi energy (states/eV/f.u.) = 7.32

abc: 5.6910 5.6910 5.5981
angles: 90.00 90.00 90.00
Closest atoms and distances in Å follow each position.
Fractional positions:
Sb 0.0000 0.0000 0.5000  2 Br 2.80
Br 0.0000 0.0000 0.0000  2 Sb 2.80, 4 Te 2.85
Te 0.5000 0.0000 0.0000  2 Br 2.85
Te 0.0000 0.5000 0.0000  2 Br 2.85
Cd 0.5000 0.5000 0.5000  8 Te 3.99, 4 Sb 4.02

Energies relative to the most stable structure are run w 0.0; run x 24.4, reported in kJ/mol of atoms.